DFT (PBE-GGA) results for Be2BSb after structural relaxation.

Values from the calculation:
Offset from the most stable computed form = 0 meV/atom
Formation energy from raw total energies = 0.406 eV/atom

Geometry as POSCAR:
```
Be2BSb
1.0
-2.003 2.003 6.526
2.003 -2.003 6.526
2.003 2.003 -6.526
Be B Sb
4 2 2
direct
0.375 0.226 0.351 Be
0.774 0.125 0.149 Be
0.875 0.024 0.649 Be
0.976 0.625 0.851 Be
0.000 0.000 0.000 B
0.750 0.250 0.500 B
0.250 0.750 0.500 Sb
0.500 0.500 0.000 Sb
```

---

DFT (PBE-GGA) results for Ce3Nd2PaAs6 after structural relaxation.

Values from the calculation:
Formation energy = -1.40 eV per atom

Geometry as POSCAR:
```
Ce3Nd2PaAs6
1.0
3.648 -6.315 0.000
3.648 6.315 0.000
-2.428 0.000 6.890
Ce Nd Pa As
3 2 1 6
direct
0.000 0.000 0.000 Ce
0.331 0.669 0.000 Ce
0.669 0.331 0.000 Ce
0.166 0.834 0.500 Nd
0.834 0.166 0.500 Nd
0.500 0.500 0.500 Pa
0.095 0.418 0.252 As
0.261 0.261 0.749 As
0.418 0.095 0.252 As
0.582 0.905 0.748 As
0.739 0.739 0.251 As
0.905 0.582 0.748 As
```

---

DFT (PBE-GGA) results for Tb4CeNdDy2 after structural relaxation.

Values from the calculation:
Formation energy = 0.04 eV per atom

Geometry as POSCAR:
```
Tb4CeNdDy2
1.0
6.166 0.000 0.000
0.000 3.562 0.000
-2.054 0.000 11.664
Tb Ce Nd Dy
4 1 1 2
direct
0.246 0.000 0.247 Tb
0.249 0.500 0.752 Tb
0.751 0.500 0.248 Tb
0.754 0.000 0.753 Tb
0.000 0.500 0.000 Ce
0.000 0.000 0.500 Nd
0.500 0.000 0.000 Dy
0.500 0.500 0.500 Dy
```